VASP calculation (PBE) on an optimized crystal structure of Ca3SiP2Pt9. Values from VASP.

Quantum ESPRESSO input file:
```
&SYSTEM
  ibrav = 0, nat = 15, ntyp = 4
/
ATOMIC_SPECIES
Ca 40.08 Ca.upf
Si 28.09 Si.upf
P 30.97 P.upf
Pt 195.08 Pt.upf
CELL_PARAMETERS angstrom
6.384 0.000 0.000
-3.192 5.529 0.000
0.000 0.000 8.355
ATOMIC_POSITIONS angstrom
Ca 0.000 0.000 0.000
Ca 0.000 3.686 5.508
Ca 3.192 1.843 2.847
Si 0.000 0.000 4.177
P 0.000 3.686 1.554
P 3.192 1.843 6.801
Pt -1.596 2.765 0.000
Pt 0.000 1.598 2.389
Pt -1.808 4.730 2.389
Pt 1.384 0.799 5.966
Pt 3.192 0.000 0.000
Pt 1.596 2.765 0.000
Pt 1.808 4.730 2.389
Pt 5.000 0.799 5.966
Pt 3.192 3.931 5.966
```

raw total energy	-5.8122	eV/atom
density of states at the Fermi level	5.30	states/eV/cell